# PBE-GGA SrNbAu, optimized geometry
# * crystal system: cubic
# * energy above the lowest structure with this stoichiometry: 1352 meV per atom
# * space-group type: No. 216
# * calculated formation energy: 1.22 eV per atom
data_SrNbAu
_cell_length_a 5.0937
_cell_length_b 5.0937
_cell_length_c 5.0937
_cell_angle_alpha 60.00
_cell_angle_beta 60.00
_cell_angle_gamma 60.00
_space_group_name_H-M_alt 'P 1'
_space_group_IT_number 1
loop_
_space_group_symop_operation_xyz
'x,y,z'
loop_
_atom_site_label
_atom_site_type_symbol
_atom_site_fract_x
_atom_site_fract_y
_atom_site_fract_z
Sr1 Sr 0.0000 0.0000 0.0000
Nb1 Nb 0.7500 0.7500 0.7500
Au1 Au 0.2500 0.2500 0.2500


# PBE-GGA Cs2SbF6, optimized geometry
# * raw formation energy: -2.58 eV per atom
# * crystal system: cubic
# * space-group type: No. 225
data_Cs2SbF6
_cell_length_a 6.6655
_cell_length_b 6.6655
_cell_length_c 6.6655
_cell_angle_alpha 60.00
_cell_angle_beta 60.00
_cell_angle_gamma 60.00
_space_group_name_H-M_alt 'P 1'
_space_group_IT_number 1
loop_
_space_group_symop_operation_xyz
'x,y,z'
loop_
_atom_site_label
_atom_site_type_symbol
_atom_site_fract_x
_atom_site_fract_y
_atom_site_fract_z
Cs1 Cs 0.2500 0.2500 0.2500
Cs2 Cs 0.7500 0.7500 0.7500
Sb1 Sb 0.0000 0.0000 0.0000
F1 F 0.2184 0.2184 0.7816
F2 F 0.2184 0.7816 0.2184
F3 F 0.2184 0.7816 0.7816
F4 F 0.7816 0.2184 0.2184
F5 F 0.7816 0.2184 0.7816
F6 F 0.7816 0.7816 0.2184


| no. | final energy (eV for the cell shown) |
| --- | --- |
| 1 | -11.378 |
| 2 | -40.271 |